# PmPAuO | OQMD via LeMat-Bulk | PBE | relaxed
# E above lowest polymorph ... 551.1 meV per atom
data_PmPAuO
_chemical_formula_sum 'Pm2 P2 Au2 O2'
_cell_length_a 5.9140
_cell_length_b 5.9140
_cell_length_c 4.6046
_cell_angle_alpha 90.00
_cell_angle_beta 90.00
_cell_angle_gamma 90.00
_space_group_name_H-M_alt 'P 4/n m m'
_space_group_IT_number 129
loop_
_space_group_symop_operation_xyz
'x,y,z'
'-x,-y,-z'
'-y+1/2,x,z'
'y+1/2,-x,-z'
'-x+1/2,-y+1/2,z'
'x+1/2,y+1/2,-z'
'y,-x+1/2,z'
'-y,x+1/2,-z'
'x+1/2,-y,-z'
'-x+1/2,y,z'
'-y,-x,-z'
'y,x,z'
'-x,y+1/2,-z'
'x,-y+1/2,z'
'y+1/2,x+1/2,-z'
'-y+1/2,-x+1/2,z'
loop_
_atom_site_label
_atom_site_fract_x
_atom_site_fract_y
_atom_site_fract_z
Pm1 0.2500 0.7500 0.0000
P1 0.2500 0.2500 0.0063
Au1 0.2500 0.2500 0.5065
O1 0.2500 0.7500 0.5000